Entry 1:
Material: ZrOsRu2
Method: DFT, PBE
State: optimized geometry

Calculated values
Crystal system: tetragonal
Excess energy over the best structure of this formula in the dataset (meV per atom): 147
ΔE_f (eV/atom): 0.047
Calculated total energy (eV/atom): -9.536
Volume (Å³ per atom): 15.85

Cell lengths 2.8344, 2.8344, 7.8939 Å; angles 90.00, 90.00, 90.00 degrees
Fractional positions:
Zr1 0.0000 0.0000 0.0000
Os1 0.5000 0.5000 0.2796
Ru1 0.0000 0.0000 0.4999
Ru2 0.5000 0.5000 0.7267

=====

Entry 2:
Material: ZrOsRu2
Method: DFT, PBE
State: optimized geometry

Calculated values
Crystal system: monoclinic
Excess energy over the best structure of this formula in the dataset (meV per atom): 92
ΔE_f (eV/atom): -0.008
Calculated total energy (eV/atom): -9.591
Volume (Å³ per atom): 15.69

Cell lengths 4.7924, 2.8609, 4.8474 Å; angles 90.00, 109.19, 90.00 degrees
Fractional positions:
Zr1 0.0000 0.0000 0.0000
Os1 0.0000 0.5000 0.5000
Ru1 0.5000 0.0000 0.5000
Ru2 0.5000 0.5000 0.0000

=====

Density of states at the Fermi level (states/eV/f.u.)
5.087; 5.019